# 1
! CsHgAsS4 (PBE, optimized geometry); values from VASP
&SYSTEM
  ibrav = 0, nat = 14, ntyp = 4
/
ATOMIC_SPECIES
S 32.06 S.upf
Cs 132.91 Cs.upf
Hg 200.59 Hg.upf
As 74.92 As.upf
CELL_PARAMETERS angstrom
-6.1495 -2.2190 0.5837
0.9977 -4.4006 -6.2175
5.6934 -5.8988 5.0886
ATOMIC_POSITIONS crystal
S 0.0092 0.4732 0.7070
S 0.9908 0.5268 0.2930
S 0.4753 0.7500 0.4990
S 0.0092 0.0268 0.7070
S 0.6736 0.2500 0.8883
S 0.3264 0.7500 0.1117
S 0.9908 0.9732 0.2930
S 0.5247 0.2500 0.5010
Cs 0.7383 0.7500 0.9161
Cs 0.2617 0.2500 0.0839
Hg 0.7559 0.7500 0.3814
Hg 0.2441 0.2500 0.6186
As 0.2042 0.7500 0.2953
As 0.7958 0.2500 0.7047
! Uncorrected formation energy ... -0.3669 eV per atom
! Size of the total moment ... 0.00 μB per cell
! Symmetry ... P2_1/m



# 2
! Ce4HfAs5 (PBE, optimized geometry); values from VASP
&SYSTEM
  ibrav = 0, nat = 10, ntyp = 3
/
ATOMIC_SPECIES
Ce 140.12 Ce.upf
As 74.92 As.upf
Hf 178.49 Hf.upf
CELL_PARAMETERS angstrom
-2.0720 3.5828 -0.2308
-3.5869 -2.0772 -0.0446
2.2879 -0.1298 14.6694
ATOMIC_POSITIONS crystal
Ce 0.8020 0.8020 0.6040
Ce 0.4021 0.4021 0.8043
Ce 0.1980 0.1980 0.3960
Ce 0.5979 0.5979 0.1957
As 0.9059 0.9059 0.8117
As 0.0941 0.0941 0.1883
As 0.5000 0.5000 0.0000
As 0.6997 0.6997 0.3993
As 0.3003 0.3003 0.6007
Hf 0.0000 0.0000 0.0000
! Energy of formation ... -12.9 eV per formula unit
! Size of the total moment ... 2.60 μB per cell
! Symmetry ... I4/mmm



# 3
! CrInCo2 (PBE, optimized geometry); values from VASP
&SYSTEM
  ibrav = 0, nat = 4, ntyp = 3
/
ATOMIC_SPECIES
Co 58.93 Co.upf
Cr 52.00 Cr.upf
In 114.82 In.upf
CELL_PARAMETERS angstrom
4.7471 -0.0389 0.0000
1.8773 4.3603 0.0000
-3.3122 -2.1607 2.6262
ATOMIC_POSITIONS crystal
Co 0.2500 0.7500 0.5000
Co 0.0000 0.0000 0.0000
Cr 0.5000 0.5000 0.0000
In 0.7500 0.2500 0.5000
! Energy of formation ... 1.2 eV per formula unit
! Size of the total moment ... 1.69 μB per cell
! Symmetry ... I-4m2



# 4
! AcTh2NiN4 (PBE, optimized geometry); values from VASP
&SYSTEM
  ibrav = 0, nat = 16, ntyp = 4
/
ATOMIC_SPECIES
N 14.01 N.upf
Th 232.04 Th.upf
Ac 227.00 Ac.upf
Ni 58.69 Ni.upf
CELL_PARAMETERS angstrom
3.6436 0.0000 0.0000
-1.8218 6.0150 0.0000
0.0000 0.0000 12.0101
ATOMIC_POSITIONS crystal
N 0.2638 0.5276 0.1153
N 0.5591 0.1181 0.2500
N 0.2638 0.5276 0.3847
N 0.0000 0.0000 0.0000
N 0.7362 0.4724 0.6153
N 0.4409 0.8819 0.7500
N 0.0000 0.0000 0.5000
N 0.7362 0.4724 0.8847
Th 0.6324 0.2647 0.0592
Th 0.3676 0.7353 0.5592
Th 0.6324 0.2647 0.4408
Th 0.3676 0.7353 0.9408
Ac 0.8985 0.7971 0.2500
Ac 0.1015 0.2029 0.7500
Ni 0.8352 0.6705 0.7500
Ni 0.1648 0.3295 0.2500
! Uncorrected formation energy ... -1.1923 eV per atom
! Size of the total moment ... 2.05 μB per cell
! Symmetry ... Cmcm



# 5
! K3GeAu3 (PBE, optimized geometry); values from VASP
&SYSTEM
  ibrav = 0, nat = 7, ntyp = 3
/
ATOMIC_SPECIES
Au 196.97 Au.upf
Ge 72.64 Ge.upf
K 39.10 K.upf
CELL_PARAMETERS angstrom
-2.0599 6.1173 -2.1276
-2.5659 -1.3470 5.8483
6.5065 -0.1544 0.4933
ATOMIC_POSITIONS crystal
Au 0.4716 0.0000 0.4029
Au 0.4716 0.4029 0.0000
Au 0.0686 0.5971 0.5971
Ge 0.4344 0.0000 0.0000
K 0.9774 0.4034 0.0000
K 0.5740 0.5966 0.5966
K 0.9774 0.0000 0.4034
! Energy of formation ... -1.0 eV per formula unit
! Size of the total moment ... 0.00 μB per cell
! Symmetry ... R3m



# 6
! ZrTaCr3 (PBE, optimized geometry); values from VASP
&SYSTEM
  ibrav = 0, nat = 5, ntyp = 3
/
ATOMIC_SPECIES
Zr 91.22 Zr.upf
Cr 52.00 Cr.upf
Ta 180.95 Ta.upf
CELL_PARAMETERS angstrom
4.6147 0.0000 0.0000
0.0000 4.6147 0.0000
0.0000 0.0000 4.6147
ATOMIC_POSITIONS crystal
Zr 0.5000 0.5000 0.5000
Cr 0.5000 0.0000 0.0000
Cr 0.0000 0.0000 0.5000
Cr 0.0000 0.5000 0.0000
Ta 0.0000 0.0000 0.0000
! Energy of formation ... 6.5 eV per formula unit
! Size of the total moment ... 6.41 μB per cell
! Symmetry ... Pm-3m



# 7
! YTlSn2Se4 (PBE, optimized geometry); values from VASP
&SYSTEM
  ibrav = 0, nat = 8, ntyp = 4
/
ATOMIC_SPECIES
Se 78.96 Se.upf
Sn 118.71 Sn.upf
Y 88.91 Y.upf
Tl 204.38 Tl.upf
CELL_PARAMETERS angstrom
-2.4891 -0.3878 3.4506
3.1510 -6.5228 1.5399
5.9802 1.2401 4.4533
ATOMIC_POSITIONS crystal
Se 0.5000 0.7418 0.2727
Se 0.5000 0.2582 0.7273
Se 0.0000 0.2452 0.2764
Se 0.0000 0.7548 0.7236
Sn 0.5000 0.0000 0.5000
Sn 0.0000 0.0000 0.0000
Y 0.0000 0.5000 0.5000
Tl 0.5000 0.5000 0.0000
! Uncorrected formation energy ... -0.8230 eV per atom
! Size of the total moment ... 0.00 μB per cell
! Symmetry ... P2/m



# 8
! Ca2TcI (PBE, optimized geometry); values from VASP
&SYSTEM
  ibrav = 0, nat = 4, ntyp = 3
/
ATOMIC_SPECIES
Ca 40.08 Ca.upf
I 126.90 I.upf
Tc 98.00 Tc.upf
CELL_PARAMETERS angstrom
3.9589 -3.3454 1.2718
-0.5181 -5.2277 -0.9407
2.8774 -2.3162 -3.8520
ATOMIC_POSITIONS crystal
Ca 0.7500 0.7500 0.7500
Ca 0.2500 0.2500 0.2500
I 0.5000 0.5000 0.5000
Tc 0.0000 0.0000 0.0000
! Uncorrected formation energy ... 0.3243 eV per atom
! Size of the total moment ... 2.00 μB per cell
! Symmetry ... Fm-3m



# 9
! LiInFe2C (PBE, optimized geometry); values from VASP
&SYSTEM
  ibrav = 0, nat = 5, ntyp = 4
/
ATOMIC_SPECIES
Fe 55.84 Fe.upf
In 114.82 In.upf
Li 6.94 Li.upf
C 12.01 C.upf
CELL_PARAMETERS angstrom
3.7715 0.0000 0.0000
0.0000 3.7715 0.0000
0.0000 0.0000 4.1246
ATOMIC_POSITIONS crystal
Fe 0.5000 0.0000 0.0000
Fe 0.0000 0.5000 0.0000
In 0.5000 0.5000 0.5000
Li 0.0000 0.0000 0.5000
C 0.0000 0.0000 0.0000
! Energy of formation ... 0.1 eV per formula unit
! Size of the total moment ... 1.32 μB per cell
! Symmetry ... P4/mmm